[1]
An optimized crystal structure of La16Sm6Er7, computed with PBE-GGA.

Cell: 11.363 11.363 11.363 Å, 60.00 60.00 60.00°
Each line ends with the local moment (μB).
Fractional coordinates of all 29 atoms:
1 La 0.879 0.879 0.362  -0.01
2 La 0.879 0.879 0.879  -0.01
3 La 0.879 0.362 0.879  -0.01
4 La 0.362 0.879 0.879  -0.01
5 La 0.121 0.121 0.121  -0.01
6 La 0.121 0.121 0.638  -0.01
7 La 0.121 0.638 0.121  -0.01
8 La 0.638 0.121 0.121  -0.01
9 La 0.654 0.654 0.037  -0.05
10 La 0.654 0.654 0.654  -0.05
11 La 0.654 0.037 0.654  -0.05
12 La 0.037 0.654 0.654  -0.05
13 La 0.346 0.346 0.346  -0.05
14 La 0.346 0.346 0.963  -0.05
15 La 0.346 0.963 0.346  -0.05
16 La 0.963 0.346 0.346  -0.05
17 Sm 0.297 0.703 0.297  -0.08
18 Sm 0.703 0.297 0.703  -0.08
19 Sm 0.703 0.297 0.297  -0.08
20 Sm 0.297 0.703 0.703  -0.08
21 Sm 0.703 0.703 0.297  -0.08
22 Sm 0.297 0.297 0.703  -0.08
23 Er 0.000 0.000 0.000  -0.04
24 Er 0.500 0.000 0.500  -0.03
25 Er 0.000 0.500 0.000  -0.03
26 Er 0.000 0.500 0.500  -0.03
27 Er 0.500 0.000 0.000  -0.03
28 Er 0.000 0.000 0.500  -0.03
29 Er 0.500 0.500 0.000  -0.03

Results
symmetry = No. 225
energy of formation from the pure elements = 0.189 eV per atom

[2]
An optimized crystal structure of PmTmIr, computed with PBE-GGA.

Cell: 3.494 3.494 6.854 Å, 104.77 104.77 90.00°
Fractional coordinates of all 3 atoms:
1 Ir 0.672 0.672 0.345
2 Tm 0.291 0.291 0.583
3 Pm 0.036 0.036 0.072

Results
symmetry = No. 107
polymorph energy (0 for the lowest one) = 113 meV per atom
energy of formation from the pure elements = -0.530 eV per atom

[3]
An optimized crystal structure of ZnS2F, computed with PBE-GGA.

Cell: 3.693 3.693 9.970 Å, 79.33 79.33 90.00°
Fractional coordinates of all 8 atoms:
1 Zn 0.000 0.000 0.000
2 Zn 0.750 0.250 0.500
3 S 0.726 0.125 0.250
4 S 0.024 0.625 0.250
5 S 0.375 0.274 0.750
6 S 0.875 0.976 0.750
7 F 0.500 0.500 0.000
8 F 0.250 0.750 0.500

Results
symmetry = No. 122
polymorph energy (0 for the lowest one) = 0 meV per atom

[4]
An optimized crystal structure of CoOsAu2, computed with PBE-GGA.

Cell: 4.857 4.857 4.935 Å, 79.02 79.02 32.76°
Each line ends with the local moment (μB).
Fractional coordinates of all 4 atoms:
1 Au 0.995 0.995 0.007  0.04
2 Au 0.759 0.759 0.746  0.01
3 Co 0.510 0.510 0.475  1.65
4 Os 0.237 0.237 0.273  0.29

Results
symmetry = No. 8
polymorph energy (0 for the lowest one) = 211 meV per atom
energy of formation from the pure elements = 0.482 eV per atom

[5]
An optimized crystal structure of Pm5Ni4Pb, computed with PBE-GGA.

Cell: 3.479 3.479 18.743 Å, 90.00 90.00 90.00°
Fractional coordinates of all 10 atoms:
1 Pm 0.500 0.500 0.131
2 Pm 0.500 0.500 0.315
3 Pm 0.500 0.500 0.500
4 Pm 0.500 0.500 0.685
5 Pm 0.500 0.500 0.869
6 Ni 0.000 0.000 0.223
7 Ni 0.000 0.000 0.408
8 Ni 0.000 0.000 0.592
9 Ni 0.000 0.000 0.777
10 Pb 0.000 0.000 0.000

Results
symmetry = No. 123
energy of formation from the pure elements = -0.301 eV per atom

[6]
An optimized crystal structure of La3Ga2Ru2N3, computed with PBE-GGA.

Cell: 3.877 3.877 12.290 Å, 99.07 99.07 90.00°
Fractional coordinates of all 10 atoms:
1 La 0.608 0.608 0.215
2 La 0.392 0.392 0.785
3 La 0.000 0.000 0.000
4 Ga 0.750 0.250 0.500
5 Ga 0.250 0.750 0.500
6 Ru 0.817 0.817 0.635
7 Ru 0.183 0.183 0.365
8 N 0.899 0.899 0.798
9 N 0.500 0.500 0.000
10 N 0.101 0.101 0.202

Results
symmetry = No. 139
total DFT energy (no corrections) = -7.184 eV/atom

[7]
An optimized crystal structure of TiMn2Pd5, computed with PBE-GGA.

Cell: 4.007 4.007 8.039 Å, 104.43 104.43 90.00°
Each line ends with the local moment (μB).
Fractional coordinates of all 8 atoms:
1 Ti 0.000 0.000 0.000  -0.06
2 Mn 0.750 0.750 0.499  3.84
3 Mn 0.250 0.250 0.501  3.84
4 Pd 0.500 0.500 0.000  0.01
5 Pd 0.872 0.372 0.744  0.17
6 Pd 0.372 0.872 0.744  0.17
7 Pd 0.128 0.628 0.256  0.17
8 Pd 0.628 0.128 0.256  0.17

Results
symmetry = No. 139
energy of formation from the pure elements = -0.378 eV per atom

[8]
An optimized crystal structure of ReSb3F, computed with PBE-GGA.

Cell: 5.160 5.160 5.160 Å, 90.00 90.00 90.00°
Fractional coordinates of all 5 atoms:
1 Re 0.000 0.000 0.000
2 F 0.500 0.500 0.500
3 Sb 0.000 0.500 0.000
4 Sb 0.000 0.000 0.500
5 Sb 0.500 0.000 0.000

Results
symmetry = No. 221
polymorph energy (0 for the lowest one) = 0 meV per atom

Number 1: volume 35.8 A^3/atom. Number 2: volume 26.0 A^3/atom. Number 3: volume 16.4 A^3/atom. Number 4: volume 15.4 A^3/atom. Number 5: volume 22.7 A^3/atom. Number 6: volume 18.0 A^3/atom. Number 7: volume 15.1 A^3/atom. Number 8: volume 27.5 A^3/atom.